[1]
This record from the Alexandria database describes a relaxed structure of Mg2CrPb. The functional is PBE-GGA.

Values from the calculation:
Raw total energy   -3.775 eV per atom
Total magnetic moment   12.293 μB/cell
DFT formation energy   0.3553 eV per atom

a = 3.2568 Å, b = 3.2568 Å, c = 30.3644 Å
α = 90.00°, β = 90.00°, γ = 120.00°
With the nearest neighbours (Å) after each atom.
Space group R-3m (No. 166, hexagonal axes)
Unique sites:
Mg 0.0000 0.0000 0.2412  3 Cr 2.94, 6 Mg 3.26
Cr 0.0000 0.0000 0.5000  6 Mg 2.94, 6 Cr 3.26
Pb 0.0000 0.0000 0.0000  6 Pb 3.26, 6 Mg 3.37

---

[2]
This record from the Alexandria database describes a relaxed structure of CrGeN3. The functional is PBE-GGA.

Values from the calculation:
Raw total energy   -6.265 eV per atom
Total magnetic moment   0.000 μB/cell
Raw formation energy   1.58 eV/atom

a = 3.7056 Å, b = 3.7056 Å, c = 3.7056 Å
α = 90.00°, β = 90.00°, γ = 90.00°
With the nearest neighbours (Å) after each atom.
Space group Pm-3m (No. 221)
Unique sites:
Cr 0.0000 0.0000 0.0000  12 N 2.62
Ge 0.5000 0.5000 0.5000  6 N 1.85
N 0.0000 0.5000 0.5000  2 Ge 1.85

---

[3]
This record from the Alexandria database describes a relaxed structure of AlTl2Bi. The functional is PBE-GGA.

Values from the calculation:
Raw total energy   -2.696 eV per atom
Total magnetic moment   0.000 μB/cell
Energy relative to the lowest polymorph listed for this composition   182 meV per atom
DFT formation energy   0.3927 eV per atom

a = 6.9344 Å, b = 6.9344 Å, c = 12.3807 Å
α = 90.00°, β = 90.00°, γ = 90.00°
With the nearest neighbours (Å) after each atom.
Space group I-42d (No. 122)
Unique sites:
Al 0.0000 0.0000 0.0000  4 Tl 2.78
Tl 0.2188 0.2500 0.1250  2 Al 2.78, 2 Bi 3.03
Bi 0.0000 0.0000 0.5000  4 Tl 3.03

---

[4]
This record from the Alexandria database describes a relaxed structure of La4Nd5Sm2. The functional is PBE-GGA.

Values from the calculation:
Raw total energy   -4.747 eV per atom
Total magnetic moment   0.000 μB/cell
Energy relative to the lowest polymorph listed for this composition   0 meV per atom
DFT formation energy   0.0698 eV per atom

a = 18.1676 Å, b = 3.6159 Å, c = 12.0066 Å
α = 90.00°, β = 94.42°, γ = 90.00°
With the nearest neighbours (Å) after each atom.
Space group C2/m (No. 12)
Unique sites:
La 0.0381 0.0000 0.2631  5 Nd 3.41-3.66, 4 La 3.62-3.75, 2 Sm 3.81
La 0.1411 0.5000 0.7973  6 Nd 3.52-3.79, 4 La 3.62-3.75, 2 Sm 3.78
Nd 0.0000 0.5000 0.0000  6 Nd 3.62-3.76, 6 La 3.66-3.67
Nd 0.0960 0.0000 0.5402  4 La 3.41-3.62, 3 Sm 3.53-3.67, 3 Nd 3.55-3.62
Nd 0.1784 0.0000 0.0729  4 La 3.52-3.79, 6 Nd 3.62-3.76, 2 Sm 3.91
Sm 0.2162 0.5000 0.3602  5 Nd 3.53-3.91, 4 Sm 3.62-3.93, 4 La 3.78-3.81

---

[5]
This record from the Alexandria database describes a relaxed structure of LiLaTlRu. The functional is PBE-GGA.

Values from the calculation:
Raw total energy   -4.702 eV per atom
Total magnetic moment   0.000 μB/cell
DFT formation energy   -0.0811 eV per atom

a = 6.9502 Å, b = 6.9502 Å, c = 6.9502 Å
α = 90.00°, β = 90.00°, γ = 90.00°
With the nearest neighbours (Å) after each atom.
Space group F-43m (No. 216)
Unique sites:
Li 0.0000 0.0000 0.0000  4 Tl 3.01, 4 La 3.01
La 0.2500 0.2500 0.7500  4 Li 3.01, 4 Ru 3.01
Tl 0.2500 0.2500 0.2500  4 Li 3.01, 4 Ru 3.01
Ru 0.0000 0.0000 0.5000  4 Tl 3.01, 4 La 3.01

---

[6]
This record from the Alexandria database describes a relaxed structure of AlSi2Tc. The functional is PBE-GGA.

Values from the calculation:
Raw total energy   -6.217 eV per atom
Total magnetic moment   0.000 μB/cell
Raw formation energy   0.02 eV/atom

a = 3.1178 Å, b = 4.1043 Å, c = 4.3199 Å
α = 90.00°, β = 90.00°, γ = 90.00°
With the nearest neighbours (Å) after each atom.
Space group Pmmm (No. 47)
Unique sites:
Al 0.0000 0.0000 0.0000  4 Si 2.58, 4 Tc 2.66
Si 0.0000 0.5000 0.5000  4 Tc 2.58, 4 Si 2.66
Si 0.5000 0.5000 0.0000  4 Al 2.58, 4 Si 2.66
Tc 0.5000 0.0000 0.5000  4 Si 2.58, 4 Al 2.66

---

[7]
This record from the Alexandria database describes a relaxed structure of EuSeO3. The functional is PBE-GGA.

Values from the calculation:
Raw total energy   -7.557 eV per atom
Total magnetic moment   14.002 μB/cell
Raw formation energy   -1.83 eV/atom

a = 4.4447 Å, b = 5.5263 Å, c = 6.6280 Å
α = 90.00°, β = 107.71°, γ = 90.00°
With the nearest neighbours (Å) after each atom.
Space group P2_1/m (No. 11)
Unique sites:
Eu 0.1576 0.2500 0.3055  7 O 2.63-2.68
Se 0.4351 0.2500 0.8474  3 O 1.73-1.75
O 0.1594 0.7500 0.1018  1 Se 1.73
O 0.3232 0.0104 0.6673  1 Se 1.75

---

[8]
This record from the Alexandria database describes a relaxed structure of La8Co2Ag3. The functional is PBE-GGA.

Values from the calculation:
Raw total energy   -4.891 eV per atom
Total magnetic moment   0.000 μB/cell
DFT formation energy   -0.1077 eV per atom

a = 15.8753 Å, b = 7.4680 Å, c = 6.6152 Å
α = 90.00°, β = 99.67°, γ = 90.00°
With the nearest neighbours (Å) after each atom.
Space group C2/m (No. 12)
Unique sites:
La 0.0826 0.0000 0.2940  1 Co 2.64
La 0.1458 0.2534 0.8668  2 Co 2.71-2.92
La 0.1893 0.5000 0.3897  1 Co 2.98
Co 0.2321 0.0000 0.1682  5 La 2.64-2.92
Ag 0.0000 0.3206 0.5000  1 Ag 2.68
Ag 0.0000 0.5000 0.0000  4 La 3.20, 4 Ag 3.57

---

[9]
This record from the Alexandria database describes a relaxed structure of Tb8Er6Tl. The functional is PBE-GGA.

Values from the calculation:
Raw total energy   -4.251 eV per atom
Total magnetic moment   0.000 μB/cell
DFT formation energy   0.2012 eV per atom

a = 9.1085 Å, b = 9.1085 Å, c = 6.7166 Å
α = 90.00°, β = 90.00°, γ = 120.00°
With the nearest neighbours (Å) after each atom.
Space group P-3 (No. 147)
Unique sites:
Tb 0.0098 0.3197 0.3817  2 Er 3.14-3.38, 3 Tb 3.22-3.28
Tb 0.3333 0.6667 0.6825  3 Tb 3.22
Er 0.0781 0.6792 0.1077  2 Tb 3.14-3.38, 1 Er 3.18, 1 Tl 3.41
Tl 0.0000 0.0000 0.0000  6 Er 3.41

---

[10]
This record from the Alexandria database describes a relaxed structure of YSbP2. The functional is PBE-GGA.

Values from the calculation:
Raw total energy   -5.771 eV per atom
Total magnetic moment   0.000 μB/cell
Raw formation energy   -0.42 eV/atom

a = 3.9998 Å, b = 3.9998 Å, c = 10.5886 Å
α = 90.00°, β = 90.00°, γ = 90.00°
With the nearest neighbours (Å) after each atom.
Space group I-4m2 (No. 119)
Unique sites:
Y 0.0000 0.0000 0.0000  4 P 2.83
Sb 0.0000 0.5000 0.2500  4 P 2.83
P 0.0000 0.0000 0.5000  4 Y 2.83
P 0.0000 0.5000 0.7500  4 Sb 2.83

---

[11]
This record from the Alexandria database describes a relaxed structure of TbTlCuAg. The functional is PBE-GGA.

Values from the calculation:
Raw total energy   -3.668 eV per atom
Total magnetic moment   0.000 μB/cell
DFT formation energy   -0.1818 eV per atom

a = 6.9193 Å, b = 6.9193 Å, c = 6.9193 Å
α = 90.00°, β = 90.00°, γ = 90.00°
With the nearest neighbours (Å) after each atom.
Space group F-43m (No. 216)
Unique sites:
Tb 0.0000 0.0000 0.0000  4 Cu 3.00, 4 Ag 3.00
Tl 0.0000 0.0000 0.5000  4 Ag 3.00, 4 Cu 3.00
Cu 0.2500 0.2500 0.2500  4 Tl 3.00, 4 Tb 3.00
Ag 0.2500 0.2500 0.7500  4 Tb 3.00, 4 Tl 3.00

---

[12]
This record from the Alexandria database describes a relaxed structure of Ac5Ru2Pb. The functional is PBE-GGA.

Values from the calculation:
Raw total energy   -5.652 eV per atom
Total magnetic moment   0.000 μB/cell
DFT formation energy   -0.3017 eV per atom

a = 8.3814 Å, b = 8.3814 Å, c = 14.9979 Å
α = 90.00°, β = 90.00°, γ = 90.00°
With the nearest neighbours (Å) after each atom.
Space group I4/mcm (No. 140)
Unique sites:
Ac 0.0000 0.0000 0.0000  4 Ru 3.23
Ac 0.1597 0.3403 0.1297  3 Ru 3.05-3.20
Ru 0.1425 0.3575 0.5000  8 Ac 3.05-3.23, 1 Ru 3.38
Pb 0.0000 0.0000 0.2500  10 Ac 3.63-3.75